No. 1
The following is a PBE calculation of an optimized crystal structure of La3Pr3Y4, from the Alexandria database.

Properties
DOS(E_F) ... 1.1107 states/eV/atom
E_tot ... -0.199 Ha/atom
Formation energy from the elements ... 0.093 eV/atom
Symmetry ... Amm2, No. 38
Size of the total moment ... 0.051 μB/atom

Unit cell a=3.676 b=9.882 c=9.882 alpha=89.99 beta=90.00 gamma=90.00
Element x y z (fractional)
La 0.000 0.000 0.000
La 0.500 0.326 0.824
La 0.500 0.824 0.326
Pr 0.000 0.150 0.500
Pr 0.000 0.500 0.150
Pr 0.000 0.649 0.649
Y 0.500 0.204 0.204
Y 0.500 0.446 0.446
Y 0.500 0.702 0.945
Y 0.500 0.945 0.702



No. 2
The following is a PBE calculation of an optimized crystal structure of Zr2HgSb, from the Alexandria database.

Properties
Offset from the most stable computed form ... 0.908 eV per formula unit
DOS(E_F) ... 0.6635 states/eV/atom
E_tot ... -0.202 Ha/atom
Formation energy without anion corrections ... -12.2 kJ per mole of atoms
Symmetry ... Cmm2, No. 35
Size of the total moment ... 0.000 μB/atom

Unit cell a=3.186 b=3.186 c=9.628 alpha=90.00 beta=90.00 gamma=95.23
Element x y z (fractional)
Zr 0.000 0.000 0.000
Zr 0.500 0.500 0.234
Hg 0.000 0.000 0.465
Sb 0.500 0.500 0.764



No. 3
The following is a PBE calculation of an optimized crystal structure of SbP2Os2, from the Alexandria database.

Properties
Offset from the most stable computed form ... 0.000 eV per formula unit
DOS(E_F) ... 0.4644 states/eV/atom
E_tot ... -0.272 Ha/atom
Formation energy without anion corrections ... 8.6 kJ per mole of atoms
Symmetry ... I4/mmm, No. 139
Size of the total moment ... 0.000 μB/atom

Unit cell a=6.426 b=6.426 c=6.426 alpha=145.55 beta=145.55 gamma=49.52
Element x y z (fractional)
Sb 0.000 0.000 0.000
P 0.250 0.750 0.500
P 0.750 0.250 0.500
Os 0.366 0.366 0.000
Os 0.634 0.634 0.000



No. 4
The following is a PBE calculation of an optimized crystal structure of MgBOs2, from the Alexandria database.

Properties
Offset from the most stable computed form ... 2.543 eV per formula unit
DOS(E_F) ... 0.9288 states/eV/atom
E_tot ... -0.256 Ha/atom
Formation energy from the elements ... 0.730 eV/atom
Symmetry ... Fm-3m, No. 225
Size of the total moment ... 0.000 μB/atom

Unit cell a=4.127 b=4.127 c=4.127 alpha=60.00 beta=60.00 gamma=60.00
Element x y z (fractional)
Mg 0.000 0.000 0.000
B 0.500 0.500 0.500
Os 0.250 0.250 0.250
Os 0.750 0.750 0.750



No. 5
The following is a PBE calculation of an optimized crystal structure of Zn2IrF, from the Alexandria database.

Properties
Offset from the most stable computed form ... 0.000 eV per formula unit
DOS(E_F) ... 0.4202 states/eV/atom
E_tot ... -0.135 Ha/atom
Formation energy without anion corrections ... -34.6 kJ per mole of atoms
Symmetry ... I-42d, No. 122
Size of the total moment ... 0.000 μB/atom

Unit cell a=5.321 b=5.321 c=5.321 alpha=109.12 beta=109.12 gamma=110.17
Element x y z (fractional)
Zn 0.075 0.625 0.950
Zn 0.375 0.325 0.450
Zn 0.675 0.125 0.050
Zn 0.875 0.925 0.550
Ir 0.250 0.750 0.500
Ir 0.500 0.500 0.000
F 0.000 0.000 0.000
F 0.750 0.250 0.500



No. 6
The following is a PBE calculation of an optimized crystal structure of Ba12Tl3S5, from the Alexandria database.

Properties
DOS(E_F) ... 0.8268 states/eV/atom
E_tot ... -0.131 Ha/atom
Formation energy without anion corrections ... -99.3 kJ per mole of atoms
Symmetry ... Ia-3d, No. 230
Size of the total moment ... 0.000 μB/atom

Unit cell a=16.980 b=16.980 c=16.980 alpha=109.47 beta=109.47 gamma=109.47
Element x y z (fractional)
Ba 0.035 0.212 0.126
Ba 0.035 0.323 0.909
Ba 0.086 0.712 0.677
Ba 0.086 0.874 0.409
Ba 0.091 0.626 0.414
Ba 0.091 0.965 0.677
Ba 0.126 0.035 0.212
Ba 0.126 0.591 0.914
Ba 0.177 0.212 0.586
Ba 0.177 0.465 0.591
Ba 0.212 0.126 0.035
Ba 0.212 0.586 0.177
Ba 0.288 0.323 0.914
Ba 0.288 0.465 0.374
Ba 0.323 0.909 0.035
Ba 0.323 0.914 0.288
Ba 0.374 0.288 0.465
Ba 0.374 0.586 0.909
Ba 0.409 0.086 0.874
Ba 0.409 0.823 0.535
Ba 0.414 0.091 0.626
Ba 0.414 0.823 0.788
Ba 0.465 0.374 0.288
Ba 0.465 0.591 0.177
Ba 0.535 0.409 0.823
Ba 0.535 0.626 0.712
Ba 0.586 0.177 0.212
Ba 0.586 0.909 0.374
Ba 0.591 0.177 0.465
Ba 0.591 0.914 0.126
Ba 0.626 0.414 0.091
Ba 0.626 0.712 0.535
Ba 0.677 0.086 0.712
Ba 0.677 0.091 0.965
Ba 0.712 0.535 0.626
Ba 0.712 0.677 0.086
Ba 0.788 0.414 0.823
Ba 0.788 0.874 0.965
Ba 0.823 0.535 0.409
Ba 0.823 0.788 0.414
Ba 0.874 0.409 0.086
Ba 0.874 0.965 0.788
Ba 0.909 0.035 0.323
Ba 0.909 0.374 0.586
Ba 0.914 0.126 0.591
Ba 0.914 0.288 0.323
Ba 0.965 0.677 0.091
Ba 0.965 0.788 0.874
Tl 0.125 0.250 0.375
Tl 0.125 0.375 0.750
Tl 0.250 0.375 0.125
Tl 0.250 0.875 0.625
Tl 0.375 0.125 0.250
Tl 0.375 0.750 0.125
Tl 0.625 0.250 0.875
Tl 0.625 0.875 0.750
Tl 0.750 0.125 0.375
Tl 0.750 0.625 0.875
Tl 0.875 0.625 0.250
Tl 0.875 0.750 0.625
S 0.000 0.000 0.000
S 0.000 0.000 0.500
S 0.000 0.500 0.000
S 0.000 0.500 0.500
S 0.125 0.750 0.875
S 0.125 0.875 0.250
S 0.250 0.125 0.875
S 0.250 0.625 0.375
S 0.375 0.250 0.625
S 0.375 0.625 0.750
S 0.500 0.000 0.000
S 0.500 0.000 0.500
S 0.500 0.500 0.000
S 0.500 0.500 0.500
S 0.625 0.375 0.250
S 0.625 0.750 0.375
S 0.750 0.375 0.625
S 0.750 0.875 0.125
S 0.875 0.125 0.750
S 0.875 0.250 0.125



No. 7
The following is a PBE calculation of an optimized crystal structure of LiV3Cu, from the Alexandria database.

Properties
Offset from the most stable computed form ... 0.153 eV per formula unit
DOS(E_F) ... 2.1027 states/eV/atom
E_tot ... -0.198 Ha/atom
Formation energy from the elements ... 1.297 eV/atom
Symmetry ... Pm-3m, No. 221
Size of the total moment ... 1.514 μB/atom

Unit cell a=4.617 b=4.617 c=4.617 alpha=90.00 beta=90.00 gamma=90.00
Element x y z (fractional)
Li 0.000 0.000 0.000
V 0.000 0.500 0.500
V 0.500 0.000 0.500
V 0.500 0.500 0.000
Cu 0.500 0.500 0.500



No. 8
The following is a PBE calculation of an optimized crystal structure of PmTlGaCu, from the Alexandria database.

Properties
DOS(E_F) ... 0.3577 states/eV/atom
E_tot ... -0.138 Ha/atom
Formation energy from the elements ... -0.183 eV/atom
Symmetry ... F-43m, No. 216
Size of the total moment ... 0.000 μB/atom

Unit cell a=4.972 b=4.972 c=4.972 alpha=60.00 beta=60.00 gamma=60.00
Element x y z (fractional)
Pm 0.000 0.000 0.000
Tl 0.500 0.500 0.500
Ga 0.750 0.750 0.750
Cu 0.250 0.250 0.250



Look up the DOS(E_F) of the fifth one.
0.4202 states/eV/atom



Copy entry 7 word for word.
The following is a PBE calculation of an optimized crystal structure of LiV3Cu, from the Alexandria database.

Properties
Offset from the most stable computed form ... 0.153 eV per formula unit
DOS(E_F) ... 2.1027 states/eV/atom
E_tot ... -0.198 Ha/atom
Formation energy from the elements ... 1.297 eV/atom
Symmetry ... Pm-3m, No. 221
Size of the total moment ... 1.514 μB/atom

Unit cell a=4.617 b=4.617 c=4.617 alpha=90.00 beta=90.00 gamma=90.00
Element x y z (fractional)
Li 0.000 0.000 0.000
V 0.000 0.500 0.500
V 0.500 0.000 0.500
V 0.500 0.500 0.000
Cu 0.500 0.500 0.500



The lowest E_tot belongs to which entry?
SbP2Os2